Entry 1:
# YTcGe2 | Alexandria | PBE | optimized geometry
data_YTcGe2
_space_group_name_H-M_alt 'P 1'
_space_group_IT_number 1
_cell_length_a 4.387
_cell_length_b 6.854
_cell_length_c 10.277
_cell_angle_alpha 90.00
_cell_angle_beta 90.00
_cell_angle_gamma 90.00
loop_
_space_group_symop_operation_xyz
'x,y,z'
loop_
_atom_site_label
_atom_site_fract_x
_atom_site_fract_y
_atom_site_fract_z
Y1 0.750 0.763 0.318
Y2 0.750 0.263 0.182
Y3 0.250 0.237 0.682
Y4 0.250 0.737 0.818
Tc1 0.250 0.095 0.405
Tc2 0.750 0.905 0.595
Tc3 0.250 0.595 0.095
Tc4 0.750 0.405 0.905
Ge1 0.750 0.735 0.018
Ge2 0.250 0.265 0.982
Ge3 0.750 0.235 0.482
Ge4 0.250 0.765 0.518
Ge5 0.750 0.037 0.826
Ge6 0.250 0.463 0.326
Ge7 0.750 0.537 0.674
Ge8 0.250 0.963 0.174
# - electronic total energy (eV for the cell shown) = -111.82
# - distance to the lowest polymorph of the same formula (eV/f.u.) = 0.17
# - crystal system = orthorhombic
# - Fermi-level density of states (states/eV per cell) = 10.2

Entry 2:
# TaH3Ru | Alexandria | PBE | optimized geometry
data_TaH3Ru
_space_group_name_H-M_alt 'P 1'
_space_group_IT_number 1
_cell_length_a 3.034
_cell_length_b 3.034
_cell_length_c 4.977
_cell_angle_alpha 107.75
_cell_angle_beta 107.75
_cell_angle_gamma 90.00
loop_
_space_group_symop_operation_xyz
'x,y,z'
loop_
_atom_site_label
_atom_site_fract_x
_atom_site_fract_y
_atom_site_fract_z
Ta1 0.941 0.941 0.883
H1 0.287 0.787 0.574
H2 0.787 0.287 0.574
H3 0.440 0.440 0.880
Ru1 0.635 0.635 0.270
# - electronic total energy (eV for the cell shown) = -31.49
# - crystal system = tetragonal
# - Fermi-level density of states (states/eV per cell) = 1.5